Entry from Alexandria via LeMat-Bulk: BaHfMoO6 after structural relaxation (PBE with a Hubbard U).

a = 5.432 Å, b = 5.432 Å, c = 5.734 Å
α = 90.00°, β = 90.00°, γ = 120.00°
Atoms (fractional coordinates):
Ba (0.000, 0.000, 0.000)
Hf (0.667, 0.333, 0.500)
Mo (0.333, 0.667, 0.500)
O (0.018, 0.399, 0.304)
O (0.018, 0.618, 0.696)
O (0.382, 0.399, 0.696)
O (0.382, 0.982, 0.304)
O (0.601, 0.618, 0.304)
O (0.601, 0.982, 0.696)

Summary:
As for the total energy: -8.027 eV/atom.